# Er5Zr12Al3 | Alexandria via LeMat-Bulk | PBE | optimized geometry
data_Er5Zr12Al3
_chemical_formula_sum 'Er40 Zr96 Al24'
_cell_length_a 16.983
_cell_length_b 16.983
_cell_length_c 16.983
_cell_angle_alpha 90.00
_cell_angle_beta 90.00
_cell_angle_gamma 90.00
_space_group_name_H-M_alt 'I a -3 d'
_space_group_IT_number 230
_space_group_name_Hall '-I 4bd 2c 3'
loop_
_atom_site_label
_atom_site_fract_x
_atom_site_fract_y
_atom_site_fract_z
Er1 0.000 0.000 0.000
Er2 0.000 0.250 0.375
Zr1 0.002 0.080 0.152
Al1 0.000 0.250 0.125
# Calculated formation energy = 1920 kJ/mol of formula units
# Calculated density = 5.457 Mg/m³
# M_tot = 0.00 Bohr magnetons per cell
# Crystal system = cubic

---

# ErZr2Al9 | Alexandria via LeMat-Bulk | PBE | optimized geometry
data_ErZr2Al9
_chemical_formula_sum 'Er3 Zr6 Al27'
_cell_length_a 5.3609
_cell_length_b 5.3609
_cell_length_c 26.3656
_cell_angle_alpha 90.00
_cell_angle_beta 90.00
_cell_angle_gamma 120.00
_space_group_name_H-M_alt 'R -3 m'
_space_group_IT_number 166
_space_group_name_Hall '-R 3 2"'
loop_
_atom_site_label
_atom_site_fract_x
_atom_site_fract_y
_atom_site_fract_z
Er1 0.0000 0.0000 0.0000
Zr1 0.0000 0.0000 0.1442
Al1 0.0000 0.0000 0.3340
Al2 0.0000 0.0000 0.5000
Al3 0.0062 0.5031 0.9133
# Calculated formation energy = -374 kJ/mol of formula units
# Calculated density = 4.498 Mg/m³
# M_tot = 0.00 Bohr magnetons per cell
# Crystal system = trigonal

---

# ErZrAl2 | Alexandria via LeMat-Bulk | PBE | optimized geometry
data_ErZrAl2
_chemical_formula_sum 'Er1 Zr1 Al2'
_cell_length_a 4.530
_cell_length_b 4.530
_cell_length_c 4.073
_cell_angle_alpha 90.00
_cell_angle_beta 90.00
_cell_angle_gamma 90.00
_space_group_name_H-M_alt 'P 4/m m m'
_space_group_IT_number 123
_space_group_name_Hall '-P 4 2'
loop_
_atom_site_label
_atom_site_fract_x
_atom_site_fract_y
_atom_site_fract_z
Er1 0.000 0.000 0.000
Zr1 0.500 0.500 0.000
Al1 0.000 0.500 0.500
# Calculated formation energy = -133 kJ/mol of formula units
# Energy relative to the lowest polymorph listed for this composition = 13.4 meV per atom
# Calculated density = 6.208 Mg/m³
# M_tot = 0.00 Bohr magnetons per cell
# Crystal system = tetragonal

---

# ErZrAl | Alexandria via LeMat-Bulk | PBE | optimized geometry
data_ErZrAl
_chemical_formula_sum 'Er2 Zr2 Al2'
_cell_length_a 3.286
_cell_length_b 3.286
_cell_length_c 12.853
_cell_angle_alpha 90.00
_cell_angle_beta 90.00
_cell_angle_gamma 90.00
_space_group_name_H-M_alt 'P 4/n m m'
_space_group_IT_number 129
loop_
_space_group_symop_operation_xyz
'x,y,z'
'-x,-y,-z'
'-y+1/2,x,z'
'y+1/2,-x,-z'
'-x+1/2,-y+1/2,z'
'x+1/2,y+1/2,-z'
'y,-x+1/2,z'
'-y,x+1/2,-z'
'x+1/2,-y,-z'
'-x+1/2,y,z'
'-y,-x,-z'
'y,x,z'
'-x,y+1/2,-z'
'x,-y+1/2,z'
'y+1/2,x+1/2,-z'
'-y+1/2,-x+1/2,z'
loop_
_atom_site_label
_atom_site_fract_x
_atom_site_fract_y
_atom_site_fract_z
Er1 0.250 0.250 0.107
Zr1 0.250 0.250 0.414
Al1 0.250 0.250 0.733
# Calculated formation energy = -73 kJ/mol of formula units
# Energy relative to the lowest polymorph listed for this composition = 0.0 meV per atom
# Calculated density = 6.831 Mg/m³
# M_tot = 0.00 Bohr magnetons per cell
# Crystal system = tetragonal

---

# ErZr2Al | Alexandria via LeMat-Bulk | PBE | optimized geometry
data_ErZr2Al
_chemical_formula_sum 'Er1 Zr2 Al1'
_cell_length_a 3.181
_cell_length_b 3.181
_cell_length_c 9.027
_cell_angle_alpha 90.00
_cell_angle_beta 90.00
_cell_angle_gamma 90.00
_space_group_name_H-M_alt 'P 4/m m m'
_space_group_IT_number 123
_space_group_name_Hall '-P 4 2'
loop_
_atom_site_label
_atom_site_fract_x
_atom_site_fract_y
_atom_site_fract_z
Er1 0.000 0.000 0.000
Zr1 0.500 0.500 0.283
Al1 0.000 0.000 0.500
# Calculated formation energy = -53 kJ/mol of formula units
# Energy relative to the lowest polymorph listed for this composition = 71.0 meV per atom
# Calculated density = 6.848 Mg/m³
# M_tot = 0.00 Bohr magnetons per cell
# Crystal system = tetragonal

---

# ErZr2Al6 | Alexandria via LeMat-Bulk | PBE | optimized geometry
data_ErZr2Al6
_chemical_formula_sum 'Er1 Zr2 Al6'
_cell_length_a 7.7682
_cell_length_b 7.7682
_cell_length_c 3.2431
_cell_angle_alpha 90.00
_cell_angle_beta 90.00
_cell_angle_gamma 120.00
_space_group_name_H-M_alt 'P 6/m m m'
_space_group_IT_number 191
_space_group_name_Hall '-P 6 2'
loop_
_atom_site_label
_atom_site_fract_x
_atom_site_fract_y
_atom_site_fract_z
Er1 0.0000 0.0000 0.0000
Zr1 0.3333 0.6667 0.0000
Al1 0.0000 0.3357 0.5000
# Calculated formation energy = -387 kJ/mol of formula units
# Energy relative to the lowest polymorph listed for this composition = 0.0 meV per atom
# Calculated density = 5.012 Mg/m³
# M_tot = 0.00 Bohr magnetons per cell
# Crystal system = hexagonal

---

# ErZr2Al6 | Alexandria via LeMat-Bulk | PBE | optimized geometry
data_ErZr2Al6
_chemical_formula_sum 'Er2 Zr4 Al12'
_cell_length_a 4.235
_cell_length_b 6.764
_cell_length_c 13.196
_cell_angle_alpha 90.00
_cell_angle_beta 90.00
_cell_angle_gamma 90.00
_space_group_name_H-M_alt 'I m m m'
_space_group_IT_number 71
_space_group_name_Hall '-I 2 2'
loop_
_atom_site_label
_atom_site_fract_x
_atom_site_fract_y
_atom_site_fract_z
Er1 0.000 0.000 0.000
Zr1 0.000 0.500 0.117
Al1 0.000 0.188 0.500
Al2 0.000 0.294 0.310
# Calculated formation energy = -247 kJ/mol of formula units
# Energy relative to the lowest polymorph listed for this composition = 161.2 meV per atom
# Calculated density = 4.495 Mg/m³
# M_tot = 0.00 Bohr magnetons per cell
# Crystal system = orthorhombic

---

# ErZr5Al3 | Alexandria via LeMat-Bulk | PBE | optimized geometry
data_ErZr5Al3
_chemical_formula_sum 'Er2 Zr10 Al6'
_cell_length_a 8.5665
_cell_length_b 8.5665
_cell_length_c 6.0114
_cell_angle_alpha 90.00
_cell_angle_beta 90.00
_cell_angle_gamma 120.00
_space_group_name_H-M_alt 'P 63/m c m'
_space_group_IT_number 193
_space_group_name_Hall '-P 6c 2'
loop_
_atom_site_label
_atom_site_fract_x
_atom_site_fract_y
_atom_site_fract_z
Er1 0.0000 0.0000 0.0000
Zr1 0.0000 0.3356 0.2500
Zr2 0.3333 0.6667 0.0000
Al1 0.0000 0.3379 0.7500
# Calculated formation energy = -276 kJ/mol of formula units
# Calculated density = 6.123 Mg/m³
# M_tot = 0.00 Bohr magnetons per cell
# Crystal system = hexagonal

---

# ErZrAl4 | Alexandria via LeMat-Bulk | PBE | optimized geometry
data_ErZrAl4
_chemical_formula_sum 'Er4 Zr4 Al16'
_cell_length_a 7.666
_cell_length_b 7.666
_cell_length_c 7.666
_cell_angle_alpha 90.00
_cell_angle_beta 90.00
_cell_angle_gamma 90.00
_space_group_name_H-M_alt 'F -4 3 m'
_space_group_IT_number 216
_space_group_name_Hall 'F -4 2 3'
loop_
_atom_site_label
_atom_site_fract_x
_atom_site_fract_y
_atom_site_fract_z
Er1 0.000 0.000 0.000
Zr1 0.250 0.250 0.250
Al1 0.125 0.125 0.625
# Calculated formation energy = -297 kJ/mol of formula units
# Calculated density = 5.401 Mg/m³
# M_tot = 0.00 Bohr magnetons per cell
# Crystal system = cubic

---

# EuAl | Alexandria via LeMat-Bulk | PBE | optimized geometry
data_EuAl
_chemical_formula_sum 'Eu4 Al4'
_cell_length_a 3.776
_cell_length_b 12.580
_cell_length_c 4.644
_cell_angle_alpha 90.00
_cell_angle_beta 90.00
_cell_angle_gamma 90.00
_space_group_name_H-M_alt 'C m c m'
_space_group_IT_number 63
_space_group_name_Hall '-C 2c 2'
loop_
_atom_site_label
_atom_site_fract_x
_atom_site_fract_y
_atom_site_fract_z
Eu1 0.000 0.159 0.250
Al1 0.000 0.442 0.250
# Calculated formation energy = -47 kJ/mol of formula units
# Calculated density = 5.388 Mg/m³
# M_tot = 29.20 Bohr magnetons per cell
# Crystal system = orthorhombic

---

# EuAl4 | Alexandria via LeMat-Bulk | PBE | optimized geometry
data_EuAl4
_chemical_formula_sum 'Eu2 Al8'
_cell_length_a 4.361
_cell_length_b 4.361
_cell_length_c 11.189
_cell_angle_alpha 90.00
_cell_angle_beta 90.00
_cell_angle_gamma 90.00
_space_group_name_H-M_alt 'I 4/m m m'
_space_group_IT_number 139
_space_group_name_Hall '-I 4 2'
loop_
_atom_site_label
_atom_site_fract_x
_atom_site_fract_y
_atom_site_fract_z
Eu1 0.000 0.000 0.000
Al1 0.000 0.000 0.386
Al2 0.000 0.500 0.250
# Calculated formation energy = -135 kJ/mol of formula units
# Calculated density = 4.057 Mg/m³
# M_tot = 13.89 Bohr magnetons per cell
# Crystal system = tetragonal

---

# Eu3Al | Alexandria via LeMat-Bulk | PBE | optimized geometry
data_Eu3Al
_chemical_formula_sum 'Eu3 Al1'
_cell_length_a 3.484
_cell_length_b 3.484
_cell_length_c 12.216
_cell_angle_alpha 90.00
_cell_angle_beta 90.00
_cell_angle_gamma 90.00
_space_group_name_H-M_alt 'P -4 m 2'
_space_group_IT_number 115
loop_
_space_group_symop_operation_xyz
'x,y,z'
'y,-x,-z'
'-x,-y,z'
'-y,x,-z'
'-x,y,z'
'-y,-x,-z'
'x,-y,z'
'y,x,-z'
loop_
_atom_site_label
_atom_site_fract_x
_atom_site_fract_y
_atom_site_fract_z
Eu1 0.000 0.000 0.000
Eu2 0.000 0.500 0.280
Al1 0.500 0.500 0.500
# Calculated formation energy = 127 kJ/mol of formula units
# Calculated density = 5.407 Mg/m³
# M_tot = 7.49 Bohr magnetons per cell
# Crystal system = tetragonal

---

Q: What is the calculated density in the fifth record?
A: 6.848 Mg/m³

---

Q: What is the calculated formation energy in the first record?
A: 1920 kJ/mol of formula units